10
Lattice="-2.708 -0.954 -5.324 -5.633 -2.994 3.421 -7.017 1.710 -0.143" Properties=species:S:1:pos:R:3 comment="Ac2MnBePd6 | Alexandria via LeMat-Bulk | PBE-GGA | relaxed" energy_ev_per_cell=-57.98 formation_energy_mev_per_atom=-571 total_magnetization_mub_per_fu=4.16 pbc="T T T"
Pd -5.234 -0.063 -0.747
Pd -3.830 -1.398 -3.039
Pd -12.948 -1.348 -1.824
Pd -11.529 -0.840 0.993
Pd -2.411 -0.890 -0.222
Pd -10.125 -2.175 -1.299
Ac -8.093 -1.651 1.007
Ac -7.265 -0.587 -3.053
Mn 0.000 0.000 0.000
Be -4.171 -1.974 -0.952